1.
! CePr3Dy12, optimized geometry, DFT PBE-GGA; values from VASP
! Electronic total energy ... -4.686 eV per atom
! Formation enthalpy at 0 K ... 0.032 eV/atom
! Symmetry ... P4/mmm
&SYSTEM
  ibrav = 0, nat = 16, ntyp = 3
/
ATOMIC_SPECIES
Ce 140.12 Ce.upf
Pr 140.91 Pr.upf
Dy 162.50 Dy.upf
ATOMIC_POSITIONS crystal
Ce 0.0000 0.0000 0.0000
Pr 0.0000 0.0000 0.2479
Pr 0.0000 0.0000 0.5000
Pr 0.0000 0.0000 0.7521
Dy 0.5000 0.5000 0.0000
Dy 0.5000 0.5000 0.2492
Dy 0.5000 0.5000 0.5000
Dy 0.5000 0.5000 0.7508
Dy 0.5000 0.0000 0.1219
Dy 0.5000 0.0000 0.3741
Dy 0.5000 0.0000 0.6259
Dy 0.5000 0.0000 0.8781
Dy 0.0000 0.5000 0.1219
Dy 0.0000 0.5000 0.3741
Dy 0.0000 0.5000 0.6259
Dy 0.0000 0.5000 0.8781
CELL_PARAMETERS angstrom
5.0549 0.0000 0.0000
0.0000 5.0549 0.0000
0.0000 0.0000 20.2061


2.
! CePr2Dy, optimized geometry, DFT PBE-GGA; values from VASP
! Electronic total energy ... -4.951 eV per atom
! Formation enthalpy at 0 K ... 0.073 eV/atom
! Symmetry ... R3m
! Distance to the lowest polymorph of the same formula ... 2 meV per atom
&SYSTEM
  ibrav = 0, nat = 4, ntyp = 3
/
ATOMIC_SPECIES
Ce 140.12 Ce.upf
Pr 140.91 Pr.upf
Dy 162.50 Dy.upf
ATOMIC_POSITIONS crystal
Ce 0.5001 0.5001 0.4998
Pr 0.0833 0.0833 0.7501
Pr 0.2497 0.2497 0.2508
Dy 0.6669 0.6669 0.9993
CELL_PARAMETERS angstrom
3.6173 0.0000 0.0000
1.8087 3.1327 0.0000
1.8087 1.0442 11.8090


3.
! CePrDy5, optimized geometry, DFT PBE-GGA; values from VASP
! Electronic total energy ... -4.588 eV per atom
! Formation enthalpy at 0 K ... 0.230 eV/atom
! Symmetry ... Cmcm
&SYSTEM
  ibrav = 0, nat = 14, ntyp = 3
/
ATOMIC_SPECIES
Ce 140.12 Ce.upf
Pr 140.91 Pr.upf
Dy 162.50 Dy.upf
ATOMIC_POSITIONS crystal
Ce 0.0000 0.0000 0.0000
Ce 0.0000 0.0000 0.5000
Pr 0.6712 0.0000 0.2500
Pr 0.3288 0.0000 0.7500
Dy 0.0973 0.4389 0.2499
Dy 0.6496 0.2987 0.5001
Dy 0.3416 0.4389 0.7499
Dy 0.2304 0.0000 0.2500
Dy 0.3510 0.7013 0.9999
Dy 0.6490 0.2987 0.0001
Dy 0.7696 0.0000 0.7500
Dy 0.6584 0.5611 0.2501
Dy 0.3504 0.7013 0.4999
Dy 0.9027 0.5611 0.7501
CELL_PARAMETERS angstrom
6.7285 0.0000 0.0000
-3.3643 5.9141 -1.2349
0.0000 2.2908 10.9924


4.
! CePr4Dy, optimized geometry, DFT PBE-GGA; values from VASP
! Electronic total energy ... -4.878 eV per atom
! Formation enthalpy at 0 K ... 0.064 eV/atom
! Symmetry ... P2_1/c
&SYSTEM
  ibrav = 0, nat = 12, ntyp = 3
/
ATOMIC_SPECIES
Ce 140.12 Ce.upf
Pr 140.91 Pr.upf
Dy 162.50 Dy.upf
ATOMIC_POSITIONS crystal
Ce 0.0000 0.5000 0.5000
Ce 0.5000 0.5000 0.0000
Pr 0.6633 0.9991 0.0008
Pr 0.8367 0.9991 0.5008
Pr 0.3349 0.5008 0.4991
Pr 0.8349 0.4992 0.0009
Pr 0.1651 0.5008 0.9991
Pr 0.6651 0.4992 0.5009
Pr 0.1633 0.0009 0.4992
Pr 0.3367 0.0009 0.9992
Dy 0.5000 0.0000 0.5000
Dy 0.0000 0.0000 0.0000
CELL_PARAMETERS angstrom
10.9782 0.0000 0.0000
0.0000 6.2495 0.9601
0.0000 1.1558 6.2211